Density functional theory data (PBE) for crystalline Ti2AlNi at its relaxed geometry.

Cell and atoms, written as POSCAR:
```
Ti2AlNi
1.0
4.0118 0.0000 -1.1126
-0.3086 3.9999 -1.1126
-0.1066 -0.1151 7.4047
Ti Al Ni
4 2 2
direct
0.0000 0.5000 0.0000
0.5000 0.0000 0.0000
0.3604 0.3604 0.7208
0.6396 0.6396 0.2792
0.1443 0.1443 0.2887
0.8557 0.8557 0.7113
0.2500 0.7500 0.5000
0.7500 0.2500 0.5000
```

Calculated values
D(E_F): 9.60 states/eV/cell
E_form: -0.419 eV/atom
total magnetization: 0.000 μB/atom
final energy: -26.989 eV/f.u.